[1]
ReMo4Ir: relaxed, PBE-GGA.

a = 5.1216 Å, b = 5.1216 Å, c = 5.1216 Å
α = 60.00°, β = 60.00°, γ = 60.00°
Sites, in units of the cell vectors:
Mo1 0.3756 0.3756 0.3756
Mo2 0.8733 0.3756 0.3756
Mo3 0.3756 0.3756 0.8733
Mo4 0.3756 0.8733 0.3756
Re1 0.7500 0.7500 0.7500
Ir1 0.0000 0.0000 0.0000

DFT formation energy: 26.22 kJ/mol of atoms
Crystal system: cubic
Calculated total energy: -10.50 eV per atom


[2]
Re2MoIr: relaxed, PBE-GGA.

a = 4.8041 Å, b = 4.8041 Å, c = 4.8273 Å
α = 80.50°, β = 80.50°, γ = 33.29°
Sites, in units of the cell vectors:
Re1 0.0010 0.0010 0.9912
Mo1 0.2493 0.2493 0.2546
Re2 0.7528 0.7528 0.7522
Ir1 0.4968 0.4968 0.5019

Energy relative to the lowest polymorph listed for this composition: 94 meV/atom
DFT formation energy: -3.08 kJ/mol of atoms
Crystal system: monoclinic
Calculated total energy: -11.18 eV per atom


[3]
Re2MoIr: relaxed, PBE-GGA.

a = 2.7466 Å, b = 2.7466 Å, c = 8.0066 Å
α = 90.00°, β = 90.00°, γ = 89.99°
Sites, in units of the cell vectors:
Ir1 0.5000 0.5000 0.2500
Re1 0.0000 0.0000 0.0056
Mo1 0.5000 0.5000 0.7500
Re2 0.0000 0.0000 0.4944

Energy relative to the lowest polymorph listed for this composition: 167 meV/atom
DFT formation energy: 3.94 kJ/mol of atoms
Crystal system: tetragonal
Calculated total energy: -11.11 eV per atom


[4]
Re2MoIr: relaxed, PBE-GGA.

a = 4.3742 Å, b = 4.3742 Å, c = 4.5922 Å
α = 61.56°, β = 61.56°, γ = 60.00°
Sites, in units of the cell vectors:
Re1 0.0303 0.0303 0.9090
Mo1 0.4972 0.4972 0.5085
Ir1 0.7178 0.7178 0.8465
Re2 0.2547 0.2547 0.2360

Energy relative to the lowest polymorph listed for this composition: 410 meV/atom
DFT formation energy: 27.39 kJ/mol of atoms
Crystal system: trigonal
Calculated total energy: -10.86 eV per atom